No. 1
CrHgW2Au: single point on PBEsol structure, meta-GGA SCAN.

raw total energy = -57.346 eV per atom
symmetry = P4/mmm
formation enthalpy at 0 K = 1.670 eV/atom
crystal system = tetragonal
D(E_F) = 1.0744 states/eV per atom

Lattice parameters (Å, degrees): 4.409 4.409 4.867 90.00 90.00 90.00
Fractional positions:
Cr 0.000 0.000 0.000
Hg 0.000 0.000 0.500
W 0.000 0.500 0.000
W 0.500 0.000 0.000
Au 0.500 0.500 0.500


No. 2
Ca3Al4ZnO10: single point on PBEsol structure, meta-GGA SCAN.

raw total energy = -10.709 eV per atom
symmetry = Pca2_1
E_form (uncorrected) = -3.1634 eV per atom
crystal system = orthorhombic
D(E_F) = 0.0000 states/eV per atom

Lattice parameters (Å, degrees): 16.768 5.120 10.664 90.00 90.00 90.00
Fractional positions:
Ca 0.106 0.214 0.000
Ca 0.110 0.213 0.351
Ca 0.209 0.231 0.660
Ca 0.291 0.231 0.160
Ca 0.390 0.213 0.851
Ca 0.394 0.214 0.500
Ca 0.606 0.786 0.000
Ca 0.610 0.787 0.351
Ca 0.709 0.769 0.660
Ca 0.791 0.769 0.160
Ca 0.890 0.787 0.851
Ca 0.894 0.786 0.500
Al 0.030 0.139 0.675
Al 0.075 0.638 0.821
Al 0.164 0.767 0.171
Al 0.248 0.707 0.920
Al 0.252 0.707 0.420
Al 0.336 0.767 0.671
Al 0.425 0.638 0.321
Al 0.470 0.139 0.175
Al 0.530 0.861 0.675
Al 0.575 0.362 0.821
Al 0.664 0.233 0.171
Al 0.748 0.293 0.920
Al 0.752 0.293 0.420
Al 0.836 0.233 0.671
Al 0.925 0.362 0.321
Al 0.970 0.861 0.175
Zn 0.080 0.653 0.522
Zn 0.420 0.653 0.022
Zn 0.580 0.347 0.522
Zn 0.920 0.347 0.022
O 0.004 0.511 0.924
O 0.056 0.473 0.680
O 0.071 0.934 0.171
O 0.072 0.981 0.809
O 0.087 0.020 0.547
O 0.166 0.428 0.171
O 0.170 0.510 0.861
O 0.181 0.487 0.480
O 0.212 0.918 0.040
O 0.214 0.914 0.300
O 0.286 0.914 0.800
O 0.288 0.918 0.540
O 0.319 0.487 0.980
O 0.330 0.510 0.361
O 0.334 0.428 0.671
O 0.413 0.020 0.047
O 0.428 0.981 0.309
O 0.429 0.934 0.671
O 0.444 0.473 0.180
O 0.496 0.511 0.424
O 0.504 0.489 0.924
O 0.556 0.527 0.680
O 0.571 0.066 0.171
O 0.572 0.019 0.809
O 0.587 0.980 0.547
O 0.666 0.572 0.171
O 0.670 0.490 0.861
O 0.681 0.513 0.480
O 0.712 0.082 0.040
O 0.714 0.086 0.300
O 0.786 0.086 0.800
O 0.788 0.082 0.540
O 0.819 0.513 0.980
O 0.830 0.490 0.361
O 0.834 0.572 0.671
O 0.913 0.980 0.047
O 0.928 0.019 0.309
O 0.929 0.066 0.671
O 0.944 0.527 0.180
O 0.996 0.489 0.424


No. 3
ErFeNi: single point on PBEsol structure, meta-GGA SCAN.

raw total energy = -28.510 eV per atom
symmetry = Imma
formation enthalpy at 0 K = -0.295 eV/atom
crystal system = orthorhombic
D(E_F) = 0.6755 states/eV per atom

Lattice parameters (Å, degrees): 5.008 5.008 5.008 122.07 119.29 88.85
Fractional positions:
Er 0.372 0.122 0.250
Er 0.628 0.878 0.750
Fe 0.000 0.000 0.500
Fe 0.000 0.500 0.000
Ni 0.000 0.500 0.500
Ni 0.500 0.500 0.000